Entry P
AcLa6Nd8 | PBE | optimized geometry

Lattice parameters (Å, degrees): 10.0810 10.0810 19.0297 90.00 90.00 120.00
Space group R-3 (No. 148, hexagonal axes)
Unique sites:
1 Ac 0.0000 0.0000 0.0000 (multiplicity 3)
2 La 0.0209 0.2383 0.4046 (multiplicity 18)
3 Nd 0.0000 0.0000 0.2270 (multiplicity 6)
4 Nd 0.0434 0.2880 0.8990 (multiplicity 18)

Results
Mass density (g cm⁻³): 6.6

---

Entry Q
AcLa6Nd8 | PBE | optimized geometry

Lattice parameters (Å, degrees): 9.6474 9.6474 20.6130 90.00 90.00 120.00
Space group R-3 (No. 148, hexagonal axes)
Unique sites:
1 Ac 0.0000 0.0000 0.0000 (multiplicity 3)
2 La 0.0384 0.2427 0.6900 (multiplicity 18)
3 Nd 0.0000 0.0000 0.4288 (multiplicity 6)
4 Nd 0.0619 0.2472 0.1651 (multiplicity 18)

Results
Mass density (g cm⁻³): 6.6

---

Here are the energies relative to the best structure, in kJ/mol of atoms: entry P 2.0; entry Q 0.0.